## 1
Computed, not measured: an optimized crystal structure of PrNd3Pt2 at the GGA-PBE level of DFT.

Cell lengths 8.833, 8.833, 7.571 Å; angles 93.51, 93.51, 35.79 degrees
Atoms (fractional coordinates):
Pr 0.196 0.196 0.336
Pr 0.804 0.804 0.664
Nd 0.036 0.036 0.774
Nd 0.338 0.338 0.006
Nd 0.394 0.394 0.484
Nd 0.606 0.606 0.516
Nd 0.662 0.662 0.994
Nd 0.964 0.964 0.226
Pt 0.213 0.213 0.723
Pt 0.490 0.490 0.809
Pt 0.510 0.510 0.191
Pt 0.787 0.787 0.277

Values from the calculation:
- crystal system = monoclinic
- total moment (μB per cell) = 0.000

---

## 2
Computed, not measured: an optimized crystal structure of PrNd3Pt2 at the GGA-PBE level of DFT.

Cell lengths 7.465, 7.465, 7.993 Å; angles 105.49, 105.49, 55.98 degrees
Atoms (fractional coordinates):
Pr 0.248 0.752 0.750
Pr 0.752 0.248 0.250
Nd 0.242 0.758 0.250
Nd 0.284 0.285 0.892
Nd 0.285 0.284 0.392
Nd 0.715 0.716 0.608
Nd 0.716 0.715 0.108
Nd 0.758 0.242 0.750
Pt 0.123 0.123 0.062
Pt 0.123 0.123 0.562
Pt 0.877 0.877 0.438
Pt 0.877 0.877 0.938

Values from the calculation:
- crystal system = monoclinic
- total moment (μB per cell) = 0.000

---

Which is the most stable structure? 2 is the most stable.

---

## 1
Computed, not measured: an optimized crystal structure of PrNd3Pt at the GGA-PBE level of DFT.

Cell lengths 5.685, 5.685, 5.685 Å; angles 90.00, 90.00, 90.00 degrees
Atoms (fractional coordinates):
Pr 0.000 0.000 0.000
Nd 0.000 0.500 0.500
Nd 0.500 0.000 0.500
Nd 0.500 0.500 0.000
Pt 0.500 0.500 0.500

Values from the calculation:
- crystal system = cubic
- total moment (μB per cell) = 0.621

---

## 2
Computed, not measured: an optimized crystal structure of PrNd3Pt at the GGA-PBE level of DFT.

Cell lengths 6.492, 6.492, 13.968 Å; angles 110.71, 110.71, 35.04 degrees
Atoms (fractional coordinates):
Pr 0.000 0.000 0.000
Pr 0.123 0.123 0.293
Nd 0.113 0.113 0.613
Nd 0.236 0.236 0.902
Nd 0.433 0.433 0.381
Nd 0.460 0.460 0.759
Nd 0.777 0.777 0.145
Nd 0.803 0.803 0.526
Pt 0.464 0.464 0.145
Pt 0.769 0.769 0.758

Values from the calculation:
- crystal system = monoclinic
- total moment (μB per cell) = 0.000

---

Which is the most stable structure? 2 is the most stable.

---

## 1
Computed, not measured: an optimized crystal structure of PrNd3Pt8 at the GGA-PBE level of DFT.

Cell lengths 5.530, 5.530, 9.075 Å; angles 90.00, 90.00, 120.00 degrees
Atoms (fractional coordinates):
Pr 0.000 0.000 0.000
Nd 0.000 0.000 0.371
Nd 0.667 0.333 0.499
Nd 0.667 0.333 0.869
Pt 0.165 0.330 0.684
Pt 0.165 0.835 0.684
Pt 0.333 0.667 0.435
Pt 0.333 0.667 0.935
Pt 0.502 0.003 0.185
Pt 0.502 0.498 0.185
Pt 0.670 0.835 0.684
Pt 0.997 0.498 0.185

Values from the calculation:
- crystal system = trigonal
- total moment (μB per cell) = 0.000

---

## 2
Computed, not measured: an optimized crystal structure of PrNd3Pt8 at the GGA-PBE level of DFT.

Cell lengths 9.573, 9.573, 9.573 Å; angles 33.53, 33.53, 33.53 degrees
Atoms (fractional coordinates):
Pr 0.000 0.000 0.000
Nd 0.125 0.125 0.125
Nd 0.500 0.500 0.500
Nd 0.625 0.625 0.625
Pt 0.062 0.062 0.562
Pt 0.062 0.562 0.062
Pt 0.063 0.563 0.563
Pt 0.312 0.312 0.312
Pt 0.562 0.062 0.062
Pt 0.563 0.063 0.563
Pt 0.563 0.563 0.063
Pt 0.812 0.812 0.812

Values from the calculation:
- crystal system = trigonal
- total moment (μB per cell) = 0.000

---

Which is the most stable structure? 2 is the most stable.

---

## 1
Computed, not measured: an optimized crystal structure of Pr3NdPt at the GGA-PBE level of DFT.

Cell lengths 8.016, 6.929, 6.343 Å; angles 90.00, 90.00, 90.00 degrees
Atoms (fractional coordinates):
Pr 0.000 0.153 0.000
Pr 0.247 0.696 0.007
Pr 0.253 0.304 0.507
Pr 0.500 0.847 0.500
Pr 0.747 0.304 0.507
Pr 0.753 0.696 0.007
Nd 0.000 0.853 0.514
Nd 0.500 0.147 0.014
Pt 0.000 0.502 0.264
Pt 0.500 0.498 0.764

Values from the calculation:
- crystal system = orthorhombic
- total moment (μB per cell) = 0.000

---

## 2
Computed, not measured: an optimized crystal structure of Pr3NdPt at the GGA-PBE level of DFT.

Cell lengths 5.721, 5.721, 5.721 Å; angles 90.00, 90.00, 90.00 degrees
Atoms (fractional coordinates):
Pr 0.000 0.000 0.500
Pr 0.000 0.500 0.000
Pr 0.500 0.000 0.000
Nd 0.500 0.500 0.500
Pt 0.000 0.000 0.000

Values from the calculation:
- crystal system = cubic
- total moment (μB per cell) = 0.963

---

## 3
Computed, not measured: an optimized crystal structure of Pr3NdPt at the GGA-PBE level of DFT.

Cell lengths 6.561, 6.561, 14.248 Å; angles 113.19, 113.19, 34.72 degrees
Atoms (fractional coordinates):
Pr 0.000 0.000 0.000
Pr 0.021 0.021 0.368
Pr 0.345 0.345 0.471
Pr 0.460 0.460 0.761
Pr 0.664 0.664 0.235
Pr 0.684 0.684 0.605
Nd 0.226 0.226 0.845
Nd 0.340 0.340 0.132
Pt 0.004 0.004 0.624
Pt 0.684 0.684 0.981

Values from the calculation:
- crystal system = monoclinic
- total moment (μB per cell) = 0.000

---

Which is the most stable structure? 3 is the most stable.

---

## 1
Computed, not measured: an optimized crystal structure of PrNd2Pt2 at the GGA-PBE level of DFT.

Cell lengths 4.860, 4.860, 6.652 Å; angles 108.90, 108.90, 90.06 degrees
Atoms (fractional coordinates):
Pr 0.000 0.000 0.000
Nd 0.254 0.746 0.500
Nd 0.746 0.254 0.500
Pt 0.368 0.368 0.779
Pt 0.632 0.632 0.221

Values from the calculation:
- crystal system = monoclinic
- total moment (μB per cell) = 0.000

---

## 2
Computed, not measured: an optimized crystal structure of PrNd2Pt2 at the GGA-PBE level of DFT.

Cell lengths 8.040, 8.040, 4.052 Å; angles 90.00, 90.00, 90.00 degrees
Atoms (fractional coordinates):
Pr 0.000 0.000 0.000
Pr 0.500 0.500 0.000
Nd 0.163 0.337 0.500
Nd 0.337 0.837 0.500
Nd 0.663 0.163 0.500
Nd 0.837 0.663 0.500
Pt 0.132 0.632 0.000
Pt 0.368 0.132 0.000
Pt 0.632 0.868 0.000
Pt 0.868 0.368 0.000

Values from the calculation:
- crystal system = tetragonal
- total moment (μB per cell) = 0.000

---

Which is the most stable structure? 2 is the most stable.

---

## 1
Computed, not measured: an optimized crystal structure of PrNd2Pu at the GGA-PBE level of DFT.

Cell lengths 5.108, 5.108, 5.120 Å; angles 90.00, 90.00, 90.00 degrees
Atoms (fractional coordinates):
Pr 0.000 0.000 0.000
Nd 0.000 0.500 0.500
Nd 0.500 0.000 0.500
Pu 0.500 0.500 0.000

Values from the calculation:
- crystal system = tetragonal
- total moment (μB per cell) = 6.414

---

## 2
Computed, not measured: an optimized crystal structure of PrNd2Pu at the GGA-PBE level of DFT.

Cell lengths 11.978, 11.978, 11.978 Å; angles 17.47, 17.47, 17.47 degrees
Atoms (fractional coordinates):
Pr 0.000 0.000 0.000
Nd 0.580 0.580 0.580
Nd 0.753 0.753 0.753
Pu 0.167 0.167 0.167

Values from the calculation:
- crystal system = trigonal
- total moment (μB per cell) = 6.266

---

Which is the most stable structure? 2 is the most stable.